Entry from Alexandria via LeMat-Bulk: a geometry-optimized NiTe2Os structure (PBE).

Calculated values
Distance to the lowest polymorph of the same formula in eV per formula unit: 1.49
Symmetry: P4/mmm (123)
Density of states at the Fermi level in states/eV/f.u.: 3.0

Cell: 3.238 3.238 6.911 Å, 90.00 90.00 90.00°
Positions (direct):
Ni1 0.000 0.000 0.000
Te1 0.500 0.500 0.247
Te2 0.500 0.500 0.753
Os1 0.000 0.000 0.500

=====

Entry from Alexandria via LeMat-Bulk: a geometry-optimized NiTeOs structure (PBE).

Calculated values
Distance to the lowest polymorph of the same formula in eV per formula unit: 0.00
Symmetry: F-43m (216)
Density of states at the Fermi level in states/eV/f.u.: 1.5

Cell: 6.019 6.019 6.019 Å, 90.00 90.00 90.00°
Positions (direct):
Ni1 0.000 0.000 0.000
Ni2 0.000 0.500 0.500
Ni3 0.500 0.000 0.500
Ni4 0.500 0.500 0.000
Te1 0.000 0.000 0.500
Te2 0.000 0.500 0.000
Te3 0.500 0.000 0.000
Te4 0.500 0.500 0.500
Os1 0.250 0.250 0.250
Os2 0.250 0.750 0.750
Os3 0.750 0.250 0.750
Os4 0.750 0.750 0.250

=====

Entry from Alexandria via LeMat-Bulk: a geometry-optimized NiTeOs4 structure (PBE).

Calculated values
Energy in eV per atom: -7.93
Symmetry: F-43m (216)
Density of states at the Fermi level in states/eV/f.u.: 9.3

Cell: 5.218 5.218 5.218 Å, 60.00 60.00 60.00°
Positions (direct):
Ni1 0.000 0.000 0.000
Te1 0.750 0.750 0.750
Os1 0.374 0.374 0.374
Os2 0.374 0.374 0.877
Os3 0.374 0.877 0.374
Os4 0.877 0.374 0.374